This record from Alexandria describes a PBEsol-optimized structure of Sb2INCl. The functional is SCAN.

Results
Theoretical density ... 6.178 Mg/m³
Formation energy without anion corrections ... 0.752 eV per atom

Cell: 4.9377 4.7809 4.7809 Å, 90.00 90.00 90.00°
Positions (direct):
1 Sb 0.0000 0.0000 0.5000
2 Cl 0.5000 0.5000 0.5000
3 N 0.0000 0.0000 0.0000
4 Sb 0.0000 0.5000 0.0000
5 I 0.5000 0.0000 0.0000

---

This record from Alexandria describes a PBEsol-optimized structure of SbIN2Cl. The functional is SCAN.

Results
Theoretical density ... 4.811 Mg/m³
Formation energy without anion corrections ... 1.277 eV per atom

Cell: 4.0213 4.0213 6.6620 Å, 90.00 90.00 90.00°
Each line ends with the local moment (μB).
Positions (direct):
1 Sb 0.0000 0.0000 0.0000  -0.10
2 N 0.5000 0.0000 0.0000  0.46
3 N 0.0000 0.5000 0.0000  0.46
4 Cl 0.5000 0.5000 0.5000  -0.01
5 I 0.0000 0.0000 0.5000  -0.01

---

This record from Alexandria describes a PBEsol-optimized structure of TcIN2Cl. The functional is SCAN.

Results
Theoretical density ... 5.444 Mg/m³
Formation energy without anion corrections ... 2.589 eV per atom

Cell: 3.7904 3.7904 6.1220 Å, 90.00 90.00 90.00°
Each line ends with the local moment (μB).
Positions (direct):
1 I 0.0000 0.0000 0.5000  0.07
2 Tc 0.5000 0.5000 0.5000  3.34
3 Cl 0.0000 0.0000 0.0000  0.10
4 N 0.5000 0.0000 0.0000  0.90
5 N 0.0000 0.5000 0.0000  0.90

---

This record from Alexandria describes a PBEsol-optimized structure of TeI2NCl. The functional is SCAN.

Results
Theoretical density ... 6.175 Mg/m³
Formation energy without anion corrections ... 0.935 eV per atom

Cell: 5.0054 5.0054 4.6250 Å, 90.00 90.00 90.00°
Positions (direct):
1 Te 0.0000 0.0000 0.5000
2 I 0.5000 0.0000 0.0000
3 I 0.0000 0.5000 0.0000
4 N 0.0000 0.0000 0.0000
5 Cl 0.5000 0.5000 0.5000

---

This record from Alexandria describes a PBEsol-optimized structure of NaI2Cl. The functional is SCAN.

Results
Theoretical density ... 4.516 Mg/m³
Formation energy without anion corrections ... -0.287 eV per atom

Cell: 5.4556 5.4556 5.4556 Å, 60.00 60.00 60.00°
Each line ends with the local moment (μB).
Positions (direct):
1 I 0.7500 0.7500 0.7500  0.49
2 Cl 0.5000 0.5000 0.5000  0.43
3 I 0.2500 0.2500 0.2500  0.49
4 Na 0.0000 0.0000 0.0000  0.00

---

This record from Alexandria describes a PBEsol-optimized structure of NaP2ICl. The functional is SCAN.

Results
Theoretical density ... 3.390 Mg/m³
Formation energy without anion corrections ... 0.872 eV per atom

Cell: 4.6881 5.0833 5.0833 Å, 90.00 90.00 90.00°
Each line ends with the local moment (μB).
Positions (direct):
1 Na 0.0000 0.0000 0.0000  -0.01
2 Cl 0.5000 0.0000 0.0000  -0.08
3 P 0.0000 0.0000 0.5000  -0.35
4 P 0.0000 0.5000 0.0000  -0.35
5 I 0.5000 0.5000 0.5000  0.10

---

This record from Alexandria describes a PBEsol-optimized structure of NaSb2ICl. The functional is SCAN.

Results
Theoretical density ... 4.489 Mg/m³
Formation energy without anion corrections ... 0.522 eV per atom

Cell: 5.4119 5.4144 5.4144 Å, 90.00 90.00 90.00°
Positions (direct):
1 Na 0.0000 0.0000 0.0000
2 Sb 0.0000 0.0000 0.5000
3 I 0.5000 0.0000 0.0000
4 Sb 0.0000 0.5000 0.0000
5 Cl 0.5000 0.5000 0.5000

---

This record from Alexandria describes a PBEsol-optimized structure of NaSbI2Cl. The functional is SCAN.

Results
Theoretical density ... 4.266 Mg/m³
Formation energy without anion corrections ... 0.260 eV per atom

Cell: 5.4186 5.4186 5.7539 Å, 90.00 90.00 90.00°
Each line ends with the local moment (μB).
Positions (direct):
1 I 0.5000 0.0000 0.0000  0.06
2 I 0.0000 0.5000 0.0000  0.06
3 Cl 0.5000 0.5000 0.5000  -0.03
4 Na 0.0000 0.0000 0.0000  0.01
5 Sb 0.0000 0.0000 0.5000  0.32

---

This record from Alexandria describes a PBEsol-optimized structure of NaTeI2Cl. The functional is SCAN.

Results
Theoretical density ... 4.288 Mg/m³
Formation energy without anion corrections ... 0.236 eV per atom

Cell: 5.4795 5.4795 5.6732 Å, 90.00 90.00 90.00°
Each line ends with the local moment (μB).
Positions (direct):
1 I 0.5000 0.0000 0.0000  0.05
2 Na 0.0000 0.0000 0.0000  0.00
3 Cl 0.5000 0.5000 0.5000  0.01
4 I 0.0000 0.5000 0.0000  0.05
5 Te 0.0000 0.0000 0.5000  -0.89

---

This record from Alexandria describes a PBEsol-optimized structure of NaTi2ICl. The functional is SCAN.

Results
Theoretical density ... 2.872 Mg/m³
Formation energy without anion corrections ... 0.394 eV per atom

Cell: 5.1631 5.1631 6.0966 Å, 90.00 90.00 90.00°
Each line ends with the local moment (μB).
Positions (direct):
1 Cl 0.5000 0.5000 0.5000  0.10
2 Na 0.0000 0.0000 0.5000  0.01
3 I 0.0000 0.0000 0.0000  0.01
4 Ti 0.0000 0.5000 0.0000  2.22
5 Ti 0.5000 0.0000 0.0000  2.22

---

This record from Alexandria describes a PBEsol-optimized structure of Nb3ICl6. The functional is SCAN.

Results
Theoretical density ... 4.163 Mg/m³
Formation energy without anion corrections ... -1.317 eV per atom

Cell: 12.5424 12.5424 12.5424 Å, 90.00 90.00 90.00°
Positions (direct):
1 Cl 0.2566 0.0210 0.8804
2 Cl 0.1238 0.2789 0.8999
3 I 0.8704 0.8704 0.8704
4 Cl 0.7211 0.1001 0.8762
5 Nb 0.0605 0.0437 0.3546
6 Nb 0.5605 0.4563 0.6454
7 Cl 0.6001 0.6238 0.2789
8 Cl 0.7789 0.6001 0.8762
9 Nb 0.9395 0.9563 0.6454
10 Nb 0.5437 0.3546 0.4395
11 Cl 0.6238 0.2789 0.6001
12 Nb 0.9563 0.8546 0.4395
13 I 0.6296 0.3704 0.8704
14 Cl 0.1001 0.6238 0.2211
15 Cl 0.2434 0.5210 0.8804
16 Nb 0.0437 0.3546 0.0605
17 Cl 0.2566 0.4790 0.3804
18 Cl 0.5210 0.8804 0.2434
19 Cl 0.3804 0.2566 0.4790
20 Cl 0.3999 0.1238 0.2211
21 Cl 0.5210 0.6196 0.7434
22 Cl 0.0210 0.8804 0.2566
23 Cl 0.6196 0.7434 0.5210
24 Cl 0.7566 0.0210 0.6196
25 Cl 0.4790 0.1196 0.7566
26 Cl 0.8999 0.1238 0.2789
27 Cl 0.3804 0.2434 0.9790
28 Cl 0.2434 0.9790 0.3804
29 Nb 0.8546 0.0605 0.4563
30 Cl 0.7789 0.8999 0.3762
31 I 0.8704 0.6296 0.3704
32 Cl 0.6001 0.8762 0.7789
33 Cl 0.3999 0.3762 0.7211
34 Nb 0.3546 0.0605 0.0437
35 Cl 0.9790 0.1196 0.7434
36 Cl 0.2211 0.3999 0.1238
37 Cl 0.7434 0.9790 0.1196
38 Nb 0.9395 0.5437 0.1454
39 Nb 0.4395 0.5437 0.3546
40 Cl 0.8804 0.2434 0.5210
41 Nb 0.1454 0.9395 0.5437
42 Nb 0.4563 0.8546 0.0605
43 Cl 0.8762 0.7211 0.1001
44 Cl 0.8804 0.2566 0.0210
45 Nb 0.6454 0.5605 0.4563
46 Cl 0.1001 0.8762 0.7211
47 Nb 0.5605 0.0437 0.1454
48 Cl 0.0210 0.6196 0.7566
49 Nb 0.5437 0.1454 0.9395
50 Nb 0.0605 0.4563 0.8546
51 I 0.3704 0.8704 0.6296
52 Cl 0.2789 0.6001 0.6238
53 Nb 0.1454 0.5605 0.0437
54 Cl 0.2211 0.1001 0.6238
55 Cl 0.7434 0.5210 0.6196
56 I 0.1296 0.1296 0.1296
57 Nb 0.4563 0.6454 0.5605
58 Cl 0.1196 0.7434 0.9790
59 Nb 0.0437 0.1454 0.5605
60 Cl 0.3762 0.7789 0.8999
61 Cl 0.7211 0.3999 0.3762
62 I 0.1296 0.3704 0.6296
63 Cl 0.6196 0.7566 0.0210
64 Cl 0.4790 0.3804 0.2566
65 Nb 0.8546 0.4395 0.9563
66 Nb 0.4395 0.9563 0.8546
67 Cl 0.8999 0.3762 0.7789
68 Cl 0.3762 0.7211 0.3999
69 Cl 0.1238 0.2211 0.3999
70 I 0.3704 0.6296 0.1296
71 I 0.6296 0.1296 0.3704
72 Cl 0.2789 0.8999 0.1238
73 Cl 0.7566 0.4790 0.1196
74 Cl 0.9790 0.3804 0.2434
75 Nb 0.6454 0.9395 0.9563
76 Cl 0.1196 0.7566 0.4790
77 Cl 0.8762 0.7789 0.6001
78 Nb 0.9563 0.6454 0.9395
79 Cl 0.6238 0.2211 0.1001
80 Nb 0.3546 0.4395 0.5437

---

This record from Alexandria describes a PBEsol-optimized structure of NiI2Cl. The functional is SCAN.

Results
Theoretical density ... 6.681 Mg/m³
Formation energy without anion corrections ... 0.629 eV per atom

Cell: 4.9638 4.9638 4.9638 Å, 60.00 60.00 60.00°
Each line ends with the local moment (μB).
Positions (direct):
1 Ni 0.5000 0.5000 0.5000  1.29
2 I 0.2500 0.2500 0.2500  0.42
3 Cl 0.0000 0.0000 0.0000  0.19
4 I 0.7500 0.7500 0.7500  0.42

---

In the order shown, the computed total magnetic moment values come out to 0.0; 1.1; 6.3; 0.0; 2.0; 1.5; 0.0; 0.9; 1.4; 6.6; 0.0; 2.6 Bohr magnetons per cell.